BeTlCl SCAN single point on PBEsol structure; crystal system = tetragonal; raw total energy = -28.1658 eV per atom; ΔE_f (raw) = 64 meV/atom
1.0
-2.9870 0.1423 0.6071
-0.6192 -1.0271 -2.8058
1.9720 -6.1483 3.4746
Be Cl Tl
1 1 1
Direct
0.0283 0.0283 0.0566 Be
0.6039 0.6039 0.2078 Cl
0.3678 0.3678 0.7356 Tl